1.
{"formula": "Dy2TmIn9", "functional": "PBE-GGA", "state": "relaxed", "cell": [[4.6303, 0.0000, 0.0000], [0.0000, 4.6303, 0.0000], [0.0000, 0.0000, 13.8811]], "species": ["Dy", "Dy", "Tm", "In", "In", "In", "In", "In", "In", "In", "In", "In"], "fractional_positions": [[0.0000, 0.0000, 0.1670], [0.0000, 0.0000, 0.8330], [0.0000, 0.0000, 0.5000], [0.0000, 0.5000, 0.0000], [0.0000, 0.5000, 0.3346], [0.0000, 0.5000, 0.6654], [0.5000, 0.0000, 0.0000], [0.5000, 0.0000, 0.3346], [0.5000, 0.0000, 0.6654], [0.5000, 0.5000, 0.1669], [0.5000, 0.5000, 0.5000], [0.5000, 0.5000, 0.8331]], "delta_e_f_ev_per_atom": -0.398, "spacegroup": "P4/mmm, No. 123", "vol_a3_per_atom": 24.80}

---

2.
{"formula": "Dy2Y6Tm3In", "functional": "PBE-GGA", "state": "relaxed", "cell": [[3.0405, -5.2708, 0.0000], [3.0405, 5.2708, 0.0000], [-2.0374, 0.0000, 11.4443]], "species": ["Dy", "Dy", "Y", "Y", "Y", "Y", "Y", "Y", "Tm", "Tm", "Tm", "In"], "fractional_positions": [[0.1661, 0.8339, 0.0000], [0.8339, 0.1661, 0.0000], [0.0892, 0.4178, 0.7519], [0.2538, 0.2538, 0.2491], [0.4178, 0.0892, 0.7519], [0.5822, 0.9108, 0.2481], [0.7462, 0.7462, 0.7509], [0.9108, 0.5822, 0.2481], [0.0000, 0.0000, 0.5000], [0.3336, 0.6664, 0.5000], [0.6664, 0.3336, 0.5000], [0.5000, 0.5000, 0.0000]], "delta_e_f_ev_per_atom": -0.038, "spacegroup": "C2/m, No. 12", "vol_a3_per_atom": 30.57}

---

3.
{"formula": "DyTm2Zn2In2", "functional": "PBE-GGA", "state": "relaxed", "cell": [[2.3480, 1.3556, 8.9088], [-2.3480, 1.3556, 8.9088], [0.0000, -2.7112, 8.9088]], "species": ["Dy", "Tm", "Tm", "Zn", "Zn", "In", "In"], "fractional_positions": [[0.0000, 0.0000, 0.0000], [0.1280, 0.1280, 0.1280], [0.8720, 0.8720, 0.8720], [0.3978, 0.3978, 0.3978], [0.6022, 0.6022, 0.6022], [0.2613, 0.2613, 0.2613], [0.7387, 0.7387, 0.7387]], "delta_e_f_ev_per_atom": -0.256, "spacegroup": "R-3m, No. 166", "vol_a3_per_atom": 24.31}

---

4.
{"formula": "Dy2UIn9", "functional": "PBE-GGA", "state": "relaxed", "cell": [[4.6249, 0.0000, 0.0000], [0.0000, 4.6249, 0.0000], [0.0000, 0.0000, 13.9340]], "species": ["Dy", "Dy", "U", "In", "In", "In", "In", "In", "In", "In", "In", "In"], "fractional_positions": [[0.0000, 0.0000, 0.1661], [0.0000, 0.0000, 0.8339], [0.0000, 0.0000, 0.5000], [0.0000, 0.5000, 0.0000], [0.0000, 0.5000, 0.3335], [0.0000, 0.5000, 0.6665], [0.5000, 0.0000, 0.0000], [0.5000, 0.0000, 0.3335], [0.5000, 0.0000, 0.6665], [0.5000, 0.5000, 0.1672], [0.5000, 0.5000, 0.5000], [0.5000, 0.5000, 0.8328]], "delta_e_f_ev_per_atom": -0.276, "spacegroup": "P4/mmm, No. 123", "vol_a3_per_atom": 24.84}

---

5.
{"formula": "Dy2VIn", "functional": "PBE-GGA", "state": "relaxed", "cell": [[1.6558, 0.9560, 11.0559], [-1.6558, 0.9560, 11.0559], [0.0000, -1.9120, 11.0559]], "species": ["Dy", "Dy", "V", "In"], "fractional_positions": [[0.0856, 0.0856, 0.0856], [0.9144, 0.9144, 0.9144], [0.0000, 0.0000, 0.0000], [0.5000, 0.5000, 0.5000]], "delta_e_f_ev_per_atom": 0.473, "spacegroup": "R-3m, No. 166", "vol_a3_per_atom": 26.25}

---

6.
{"formula": "DyY5In3", "functional": "PBE-GGA", "state": "relaxed", "cell": [[9.3612, 0.0000, 0.0000], [-4.6806, 8.1070, 0.0000], [0.0000, 0.0000, 6.7472]], "species": ["Dy", "Dy", "Y", "Y", "Y", "Y", "Y", "Y", "Y", "Y", "Y", "Y", "In", "In", "In", "In", "In", "In"], "fractional_positions": [[0.0000, 0.0000, 0.0000], [0.0000, 0.0000, 0.5000], [0.0000, 0.3313, 0.2500], [0.0000, 0.6687, 0.7500], [0.3313, 0.0000, 0.2500], [0.3313, 0.3313, 0.7500], [0.3333, 0.6667, 0.0000], [0.3333, 0.6667, 0.5000], [0.6667, 0.3333, 0.0000], [0.6667, 0.3333, 0.5000], [0.6687, 0.0000, 0.7500], [0.6687, 0.6687, 0.2500], [0.0000, 0.3354, 0.7500], [0.0000, 0.6646, 0.2500], [0.3354, 0.0000, 0.7500], [0.3354, 0.3354, 0.2500], [0.6646, 0.0000, 0.2500], [0.6646, 0.6646, 0.7500]], "delta_e_f_ev_per_atom": -0.386, "spacegroup": "P6_3/mcm, No. 193", "vol_a3_per_atom": 28.45}

---

7.
{"formula": "Dy3Y2In2", "functional": "PBE-GGA", "state": "relaxed", "cell": [[2.4584, -11.8462, 0.0000], [2.4584, 11.8462, 0.0000], [0.0000, 0.0000, 3.4468]], "species": ["Dy", "Dy", "Dy", "Y", "Y", "In", "In"], "fractional_positions": [[0.0000, 0.0000, 0.0000], [0.1416, 0.8584, 0.0000], [0.8584, 0.1416, 0.0000], [0.2862, 0.7138, 0.5000], [0.7138, 0.2862, 0.5000], [0.4287, 0.5713, 0.5000], [0.5713, 0.4287, 0.5000]], "delta_e_f_ev_per_atom": -0.150, "de_polymorph_mev_per_atom": 118, "spacegroup": "Cmmm, No. 65", "vol_a3_per_atom": 28.68}

---

8.
{"formula": "Dy6Y8In", "functional": "PBE-GGA", "state": "relaxed", "cell": [[9.3894, 0.0000, 0.0000], [-4.6947, 8.1315, 0.0000], [0.0000, 0.0000, 6.3119]], "species": ["Dy", "Dy", "Dy", "Dy", "Dy", "Dy", "Y", "Y", "Y", "Y", "Y", "Y", "Y", "Y", "In"], "fractional_positions": [[0.0935, 0.4543, 0.3182], [0.3608, 0.9065, 0.3182], [0.4543, 0.3608, 0.6818], [0.5457, 0.6392, 0.3182], [0.6392, 0.0935, 0.6818], [0.9065, 0.5457, 0.6818], [0.0387, 0.2664, 0.8107], [0.2276, 0.9613, 0.8107], [0.2664, 0.2276, 0.1893], [0.3333, 0.6667, 0.8197], [0.6667, 0.3333, 0.1803], [0.7336, 0.7724, 0.8107], [0.7724, 0.0387, 0.1893], [0.9613, 0.7336, 0.1893], [0.0000, 0.0000, 0.5000]], "delta_e_f_ev_per_atom": 0.081, "spacegroup": "P-3, No. 147", "vol_a3_per_atom": 32.13}

---

9.
{"formula": "Dy4Y5In", "functional": "PBE-GGA", "state": "relaxed", "cell": [[-5.3047, 5.3047, 2.9070], [5.3047, -5.3047, 2.9070], [5.3047, 5.3047, -2.9070]], "species": ["Dy", "Dy", "Dy", "Dy", "Y", "Y", "Y", "Y", "Y", "In"], "fractional_positions": [[0.0000, 0.3177, 0.3177], [0.0000, 0.6823, 0.6823], [0.3177, 0.0000, 0.3177], [0.6823, 0.0000, 0.6823], [0.2050, 0.2050, 0.0000], [0.3157, 0.3157, 0.6289], [0.3157, 0.6868, 0.0000], [0.6868, 0.3157, 0.0000], [0.6868, 0.6868, 0.3711], [0.7239, 0.7239, 0.0000]], "delta_e_f_ev_per_atom": 0.122, "de_polymorph_mev_per_atom": 206, "spacegroup": "I4mm, No. 107", "vol_a3_per_atom": 32.72}

---

10.
{"formula": "Dy2YIn4", "functional": "PBE-GGA", "state": "relaxed", "cell": [[-2.6218, 2.6218, 7.3171], [2.6218, -2.6218, 7.3171], [2.6218, 2.6218, -7.3171]], "species": ["Dy", "Dy", "Y", "In", "In", "In", "In"], "fractional_positions": [[0.2489, 0.2489, 0.0000], [0.7511, 0.7511, 0.0000], [0.5000, 0.5000, 0.0000], [0.1158, 0.6158, 0.5000], [0.3842, 0.8842, 0.5000], [0.6158, 0.1158, 0.5000], [0.8842, 0.3842, 0.5000]], "delta_e_f_ev_per_atom": -0.318, "spacegroup": "I4/mmm, No. 139", "vol_a3_per_atom": 28.74}

---

11.
{"formula": "DyY3In2", "functional": "PBE-GGA", "state": "relaxed", "cell": [[2.4522, -7.6989, 0.0000], [2.4522, 7.6989, 0.0000], [0.0000, 0.0000, 4.5044]], "species": ["Dy", "Y", "Y", "Y", "In", "In"], "fractional_positions": [[0.0000, 0.0000, 0.0000], [0.1725, 0.8275, 0.5000], [0.5000, 0.5000, 0.5000], [0.8275, 0.1725, 0.5000], [0.3454, 0.6546, 0.0000], [0.6546, 0.3454, 0.0000]], "delta_e_f_ev_per_atom": -0.313, "de_polymorph_mev_per_atom": 73, "spacegroup": "Cmmm, No. 65", "vol_a3_per_atom": 28.35}

---

12.
{"formula": "Dy2Y2In3", "functional": "PBE-GGA", "state": "relaxed", "cell": [[3.4907, 0.0000, 0.0000], [0.0000, 3.4994, 0.0000], [-1.7447, 0.0000, 16.0253]], "species": ["Dy", "Dy", "Y", "Y", "In", "In", "In"], "fractional_positions": [[0.2019, 0.0000, 0.4026], [0.7981, 0.0000, 0.5974], [0.0677, 0.0000, 0.1352], [0.9323, 0.0000, 0.8648], [0.3637, 0.5000, 0.7288], [0.5000, 0.5000, 0.0000], [0.6363, 0.5000, 0.2712]], "delta_e_f_ev_per_atom": -0.349, "spacegroup": "P2/m, No. 10", "vol_a3_per_atom": 27.96}

---

13.
{"formula": "Dy6Y3In", "functional": "PBE-GGA", "state": "relaxed", "cell": [[9.6594, 0.0000, 0.0000], [0.0000, 5.5578, 0.0000], [-4.3472, 0.0000, 11.5956]], "species": ["Dy", "Dy", "Dy", "Dy", "Dy", "Dy", "Dy", "Dy", "Dy", "Dy", "Dy", "Dy", "Y", "Y", "Y", "Y", "Y", "Y", "In", "In"], "fractional_positions": [[0.0397, 0.2500, 0.4300], [0.1940, 0.7500, 0.1702], [0.2620, 0.2500, 0.0113], [0.3460, 0.7500, 0.7993], [0.3479, 0.2500, 0.3254], [0.4264, 0.2500, 0.6392], [0.5736, 0.7500, 0.3608], [0.6521, 0.7500, 0.6746], [0.6540, 0.2500, 0.2007], [0.7380, 0.7500, 0.9887], [0.8060, 0.2500, 0.8298], [0.9603, 0.7500, 0.5700], [0.0242, 0.7500, 0.8721], [0.1007, 0.2500, 0.7210], [0.2727, 0.7500, 0.4738], [0.7273, 0.2500, 0.5262], [0.8993, 0.7500, 0.2790], [0.9758, 0.2500, 0.1279], [0.4678, 0.7500, 0.0840], [0.5322, 0.2500, 0.9160]], "delta_e_f_ev_per_atom": -0.071, "de_polymorph_mev_per_atom": 0, "spacegroup": "P2_1/m, No. 11", "vol_a3_per_atom": 31.13}

---

14.
{"formula": "DyY4In2", "functional": "PBE-GGA", "state": "relaxed", "cell": [[9.0868, 0.0000, 0.0000], [0.0000, 9.0868, 0.0000], [0.0000, 0.0000, 5.3276]], "species": ["Dy", "Dy", "Y", "Y", "Y", "Y", "Y", "Y", "Y", "Y", "In", "In", "In", "In"], "fractional_positions": [[0.0000, 0.0000, 0.0000], [0.5000, 0.5000, 0.5000], [0.0748, 0.3297, 0.5000], [0.1703, 0.5748, 0.0000], [0.3297, 0.0748, 0.5000], [0.4252, 0.8297, 0.0000], [0.5748, 0.1703, 0.0000], [0.6703, 0.9252, 0.5000], [0.8297, 0.4252, 0.0000], [0.9252, 0.6703, 0.5000], [0.2444, 0.2444, 0.0000], [0.2556, 0.7444, 0.5000], [0.7444, 0.2556, 0.5000], [0.7556, 0.7556, 0.0000]], "delta_e_f_ev_per_atom": -0.139, "de_polymorph_mev_per_atom": 0, "spacegroup": "P4_2/mnm, No. 136", "vol_a3_per_atom": 31.42}

---

15.
{"formula": "Dy3Y3In2", "functional": "PBE-GGA", "state": "relaxed", "cell": [[4.8513, 0.0000, 0.0000], [0.0000, 4.8687, 0.0000], [0.0000, 0.0000, 9.6747]], "species": ["Dy", "Dy", "Dy", "Y", "Y", "Y", "In", "In"], "fractional_positions": [[0.0000, 0.0000, 0.0000], [0.5000, 0.0000, 0.2485], [0.5000, 0.0000, 0.7515], [0.0000, 0.0000, 0.5000], [0.5000, 0.5000, 0.0000], [0.5000, 0.5000, 0.5000], [0.0000, 0.5000, 0.2502], [0.0000, 0.5000, 0.7498]], "delta_e_f_ev_per_atom": -0.271, "de_polymorph_mev_per_atom": 0, "spacegroup": "Pmmm, No. 47", "vol_a3_per_atom": 28.56}

---

16.
{"formula": "Dy3Y12In", "functional": "PBE-GGA", "state": "relaxed", "cell": [[4.9783, 0.0000, 0.0000], [0.0000, 4.9783, 0.0000], [0.0000, 0.0000, 20.2404]], "species": ["Dy", "Dy", "Dy", "Y", "Y", "Y", "Y", "Y", "Y", "Y", "Y", "Y", "Y", "Y", "Y", "In"], "fractional_positions": [[0.0000, 0.0000, 0.0000], [0.0000, 0.0000, 0.2515], [0.0000, 0.0000, 0.7485], [0.0000, 0.5000, 0.1265], [0.0000, 0.5000, 0.3794], [0.0000, 0.5000, 0.6206], [0.0000, 0.5000, 0.8735], [0.5000, 0.0000, 0.1265], [0.5000, 0.0000, 0.3794], [0.5000, 0.0000, 0.6206], [0.5000, 0.0000, 0.8735], [0.5000, 0.5000, 0.0000], [0.5000, 0.5000, 0.2556], [0.5000, 0.5000, 0.5000], [0.5000, 0.5000, 0.7444], [0.0000, 0.0000, 0.5000]], "delta_e_f_ev_per_atom": -0.045, "spacegroup": "P4/mmm, No. 123", "vol_a3_per_atom": 31.35}

---

17.
{"formula": "DyY12In3", "functional": "PBE-GGA", "state": "relaxed", "cell": [[4.8800, 0.0000, 0.0000], [0.0000, 4.8800, 0.0000], [0.0000, 0.0000, 19.8975]], "species": ["Dy", "Y", "Y", "Y", "Y", "Y", "Y", "Y", "Y", "Y", "Y", "Y", "Y", "In", "In", "In"], "fractional_positions": [[0.0000, 0.0000, 0.0000], [0.0000, 0.5000, 0.1311], [0.0000, 0.5000, 0.3774], [0.0000, 0.5000, 0.6226], [0.0000, 0.5000, 0.8689], [0.5000, 0.0000, 0.1311], [0.5000, 0.0000, 0.3774], [0.5000, 0.0000, 0.6226], [0.5000, 0.0000, 0.8689], [0.5000, 0.5000, 0.0000], [0.5000, 0.5000, 0.2556], [0.5000, 0.5000, 0.5000], [0.5000, 0.5000, 0.7444], [0.0000, 0.0000, 0.2563], [0.0000, 0.0000, 0.5000], [0.0000, 0.0000, 0.7437]], "delta_e_f_ev_per_atom": -0.196, "spacegroup": "P4/mmm, No. 123", "vol_a3_per_atom": 29.62}

---

18.
{"formula": "Dy14YIn", "functional": "PBE-GGA", "state": "relaxed", "cell": [[7.0333, 0.0000, 0.0000], [0.0000, 7.0333, 0.0000], [0.0000, 0.0000, 9.9718]], "species": ["Dy", "Dy", "Dy", "Dy", "Dy", "Dy", "Dy", "Dy", "Dy", "Dy", "Dy", "Dy", "Dy", "Dy", "Y", "In"], "fractional_positions": [[0.0000, 0.0000, 0.0000], [0.0000, 0.5000, 0.0000], [0.0000, 0.5000, 0.5000], [0.2493, 0.2493, 0.2521], [0.2493, 0.2493, 0.7479], [0.2493, 0.7507, 0.2521], [0.2493, 0.7507, 0.7479], [0.5000, 0.0000, 0.0000], [0.5000, 0.0000, 0.5000], [0.5000, 0.5000, 0.0000], [0.7507, 0.2493, 0.2521], [0.7507, 0.2493, 0.7479], [0.7507, 0.7507, 0.2521], [0.7507, 0.7507, 0.7479], [0.5000, 0.5000, 0.5000], [0.0000, 0.0000, 0.5000]], "delta_e_f_ev_per_atom": -0.029, "spacegroup": "P4/mmm, No. 123", "vol_a3_per_atom": 30.83}

---

19.
{"formula": "DyY3In", "functional": "PBE-GGA", "state": "relaxed", "cell": [[2.4215, -12.5733, 0.0000], [2.4215, 12.5733, 0.0000], [0.0000, 0.0000, 4.8387]], "species": ["Dy", "Dy", "Y", "Y", "Y", "Y", "Y", "Y", "In", "In"], "fractional_positions": [[0.1502, 0.8498, 0.7500], [0.8498, 0.1502, 0.2500], [0.0502, 0.9498, 0.2500], [0.2502, 0.7498, 0.2500], [0.4466, 0.5534, 0.2500], [0.5534, 0.4466, 0.7500], [0.7498, 0.2502, 0.7500], [0.9498, 0.0502, 0.7500], [0.3475, 0.6525, 0.7500], [0.6525, 0.3475, 0.2500]], "delta_e_f_ev_per_atom": -0.187, "de_polymorph_mev_per_atom": 0, "spacegroup": "Cmcm, No. 63", "vol_a3_per_atom": 29.46}

---

20.
{"formula": "Dy6YIn5", "functional": "PBE-GGA", "state": "relaxed", "cell": [[-2.4829, 4.4139, 7.5049], [2.4829, -4.4139, 7.5049], [2.4829, 4.4139, -7.5049]], "species": ["Dy", "Dy", "Dy", "Dy", "Dy", "Dy", "Y", "In", "In", "In", "In", "In"], "fractional_positions": [[0.0664, 0.3298, 0.7367], [0.2274, 0.0000, 0.2274], [0.4069, 0.6702, 0.7367], [0.5931, 0.3298, 0.2633], [0.7726, 0.0000, 0.7726], [0.9336, 0.6702, 0.2633], [0.5000, 0.5000, 0.0000], [0.0000, 0.5000, 0.5000], [0.1767, 0.1767, 0.0000], [0.3486, 0.8486, 0.5000], [0.6514, 0.1514, 0.5000], [0.8233, 0.8233, 0.0000]], "delta_e_f_ev_per_atom": -0.386, "spacegroup": "Immm, No. 71", "vol_a3_per_atom": 27.42}